This record from Alexandria via LeMat-Bulk describes a relaxed Fe2BiAs2 crystal. The functional is GGA-PBE.

extended XYZ file:
```
5
Lattice="-1.919 1.919 5.786 1.919 -1.919 5.786 1.919 1.919 -5.786" Properties=species:S:1:pos:R:3 pbc="T T T"
Fe 0.000 0.000 1.488
Fe 0.000 0.000 10.084
Bi 0.000 0.000 5.786
As 1.919 0.000 2.893
As 0.000 1.919 2.893
```

Values from the calculation:
Crystal system ... tetragonal
Calculated formation energy ... 5.9 kcal/mol of atoms
Uncorrected energy ... -5.766 eV per atom
Distance to the lowest polymorph of the same formula ... 0.167 eV/atom